Record 1
Material: TbPrSc2Bi4
Method: DFT, PBE
State: relaxed

a b c (Å): 4.427 7.667 7.640
angles (deg): 109.55 90.00 90.00
Atoms (fractional coordinates):
Bi1 0.000 0.248 0.731
Bi2 0.500 0.262 0.272
Bi3 0.500 0.738 0.728
Pr1 0.000 0.000 0.000
Bi4 0.000 0.752 0.269
Sc1 0.500 0.000 0.500
Sc2 0.000 0.500 0.500
Tb1 0.500 0.500 0.000

Computed properties:
DOS(E_F)   1.47 states/eV/f.u.
Total energy   -43.81 eV for the cell shown
ΔE_f   -600 kJ/mol of formula units



Record 2
Material: ZnCoRe3
Method: DFT, PBE
State: relaxed

a b c (Å): 4.423 4.423 4.423
angles (deg): 90.00 90.00 90.00
Atoms (fractional coordinates):
Re1 0.000 0.000 0.500
Re2 0.500 0.000 0.000
Co1 0.500 0.500 0.500
Re3 0.000 0.500 0.000
Zn1 0.000 0.000 0.000

Computed properties:
DOS(E_F)   7.33 states/eV/f.u.
Excess energy over the best structure of this formula in the dataset   684 meV per atom
Total energy   -34.02 eV for the cell shown
ΔE_f   1129 kJ/mol of formula units



Record 3
Material: Ti2Cd2Mo
Method: DFT, PBE
State: relaxed

a b c (Å): 3.652 3.652 8.025
angles (deg): 76.85 76.85 90.00
Atoms (fractional coordinates):
Ti1 0.583 0.583 0.834
Cd1 0.250 0.750 0.500
Mo1 0.000 0.000 0.000
Ti2 0.417 0.417 0.166
Cd2 0.750 0.250 0.500

Computed properties:
DOS(E_F)   3.60 states/eV/f.u.
Excess energy over the best structure of this formula in the dataset   200 meV per atom
Total energy   -25.56 eV for the cell shown
ΔE_f   279 kJ/mol of formula units



Record 4
Material: La3ZnGa2Pd9
Method: DFT, PBE
State: relaxed

a b c (Å): 5.795 5.795 11.109
angles (deg): 90.00 90.00 120.00
Atoms (fractional coordinates):
Pd1 0.000 0.500 0.000
Pd2 0.500 0.500 0.000
La1 0.333 0.667 0.621
Pd3 0.329 0.164 0.673
La2 0.667 0.333 0.379
Pd4 0.164 0.836 0.327
Ga1 0.333 0.667 0.166
Pd5 0.164 0.329 0.327
Pd6 0.836 0.164 0.673
Pd7 0.671 0.836 0.327
Ga2 0.667 0.333 0.834
Pd8 0.836 0.671 0.673
La3 0.000 0.000 0.000
Zn1 0.000 0.000 0.500
Pd9 0.500 0.000 0.000

Computed properties:
DOS(E_F)   4.27 states/eV/f.u.
Total energy   -78.37 eV for the cell shown
ΔE_f   -919 kJ/mol of formula units



Record 5
Material: Li2Pr2Zn15
Method: DFT, PBE
State: relaxed

a b c (Å): 6.867 6.867 6.867
angles (deg): 83.36 83.36 83.36
Atoms (fractional coordinates):
Zn1 0.293 0.707 0.000
Zn2 0.841 0.350 0.350
Zn3 0.000 0.707 0.293
Zn4 0.000 0.500 0.000
Li1 0.902 0.902 0.902
Zn5 0.000 0.293 0.707
Zn6 0.000 0.000 0.500
Zn7 0.707 0.000 0.293
Zn8 0.159 0.650 0.650
Pr1 0.339 0.339 0.339
Zn9 0.707 0.293 0.000
Pr2 0.661 0.661 0.661
Zn10 0.500 0.000 0.000
Zn11 0.650 0.650 0.159
Zn12 0.350 0.350 0.841
Zn13 0.350 0.841 0.350
Zn14 0.650 0.159 0.650
Zn15 0.293 0.000 0.707
Li2 0.098 0.098 0.098

Computed properties:
DOS(E_F)   7.43 states/eV/f.u.
Total energy   -37.70 eV for the cell shown
ΔE_f   -502 kJ/mol of formula units



Record 6
Material: RbPuPb4
Method: DFT, PBE
State: relaxed

a b c (Å): 6.612 6.612 6.612
angles (deg): 60.00 60.00 60.00
Each line ends with the local moment (μB).
Atoms (fractional coordinates):
Pb1 0.626 0.121 0.626  -0.05
Pb2 0.626 0.626 0.121  -0.05
Pb3 0.626 0.626 0.626  -0.05
Pu1 0.000 0.000 0.000  5.61
Rb1 0.250 0.250 0.250  -0.01
Pb4 0.121 0.626 0.626  -0.05

Computed properties:
DOS(E_F)   23.61 states/eV/f.u.
Total energy   -29.90 eV for the cell shown
ΔE_f   23 kJ/mol of formula units



Record 7
Material: TmLuBeCd
Method: DFT, PBE
State: relaxed

a b c (Å): 5.004 5.004 5.004
angles (deg): 60.00 60.00 60.00
Atoms (fractional coordinates):
Lu1 0.000 0.000 0.000
Be1 0.250 0.250 0.250
Cd1 0.750 0.750 0.750
Tm1 0.500 0.500 0.500

Computed properties:
DOS(E_F)   2.71 states/eV/f.u.
Total energy   -13.84 eV for the cell shown
ΔE_f   -20 kJ/mol of formula units



Record 8
Material: CaPaPt2
Method: DFT, PBE
State: relaxed

a b c (Å): 4.953 4.953 4.953
angles (deg): 60.00 60.00 60.00
Atoms (fractional coordinates):
Pt1 0.250 0.250 0.250
Ca1 0.000 0.000 0.000
Pa1 0.500 0.500 0.500
Pt2 0.750 0.750 0.750

Computed properties:
DOS(E_F)   4.37 states/eV/f.u.
Excess energy over the best structure of this formula in the dataset   112 meV per atom
Total energy   -26.92 eV for the cell shown
ΔE_f   -322 kJ/mol of formula units



Record 9
Material: Nd3GaHg2
Method: DFT, PBE
State: relaxed

a b c (Å): 3.792 5.384 16.092
angles (deg): 90.00 90.00 90.00
Atoms (fractional coordinates):
Ga1 0.998 0.500 0.500
Ga2 0.002 0.000 0.000
Hg1 0.001 0.500 0.830
Nd1 0.503 0.500 0.000
Nd2 0.499 0.500 0.341
Hg2 0.001 0.500 0.170
Nd3 0.501 0.000 0.159
Hg3 0.999 0.000 0.330
Nd4 0.497 0.000 0.500
Nd5 0.501 0.000 0.841
Nd6 0.499 0.500 0.659
Hg4 0.999 0.000 0.670

Computed properties:
DOS(E_F)   8.17 states/eV/f.u.
Excess energy over the best structure of this formula in the dataset   5 meV per atom
Total energy   -41.74 eV for the cell shown
ΔE_f   -283 kJ/mol of formula units



What did the seventh record say?
Material: TmLuBeCd
Method: DFT, PBE
State: relaxed

a b c (Å): 5.004 5.004 5.004
angles (deg): 60.00 60.00 60.00
Atoms (fractional coordinates):
Lu1 0.000 0.000 0.000
Be1 0.250 0.250 0.250
Cd1 0.750 0.750 0.750
Tm1 0.500 0.500 0.500

Computed properties:
DOS(E_F)   2.71 states/eV/f.u.
Total energy   -13.84 eV for the cell shown
ΔE_f   -20 kJ/mol of formula units



> Which of these has the highest total energy?

TmLuBeCd